Here is a geometry-optimized CeThBi2 structure from the Alexandria database. Energies are from PBE.

a = 7.967 Å, b = 7.967 Å, c = 7.967 Å
α = 131.80°, β = 131.80°, γ = 70.54°
Fractional positions:
Ce  0.375  0.625  0.750
Ce  0.625  0.375  0.250
Th  0.125  0.875  0.250
Th  0.875  0.125  0.750
Bi  0.125  0.375  0.750
Bi  0.375  0.125  0.250
Bi  0.625  0.875  0.750
Bi  0.875  0.625  0.250

Symmetry: No. 141
Formation energy from the elements, eV/f.u.: -2.8
Energy above the most stable polymorph in this dataset, meV/atom: 0

=====

Here is a geometry-optimized Ce3ThBi2 structure from the Alexandria database. Energies are from PBE.

a = 6.746 Å, b = 5.093 Å, c = 10.524 Å
α = 90.00°, β = 90.46°, γ = 90.00°
Fractional positions:
Ce  0.103  0.250  0.282
Ce  0.175  0.250  0.936
Ce  0.343  0.750  0.437
Ce  0.657  0.250  0.563
Ce  0.825  0.750  0.064
Ce  0.897  0.750  0.718
Th  0.414  0.750  0.768
Th  0.586  0.250  0.232
Bi  0.171  0.250  0.614
Bi  0.318  0.750  0.113
Bi  0.682  0.250  0.887
Bi  0.829  0.750  0.386

Symmetry: No. 11
Formation energy from the elements, eV/f.u.: -2.7

=====

Here is a geometry-optimized CeTh2Bi structure from the Alexandria database. Energies are from PBE.

a = 4.195 Å, b = 4.195 Å, c = 7.046 Å
α = 90.00°, β = 90.00°, γ = 90.00°
Fractional positions:
Ce  0.000  0.000  0.000
Th  0.500  0.500  0.255
Th  0.500  0.500  0.745
Bi  0.000  0.000  0.500

Symmetry: No. 123
Formation energy from the elements, eV/f.u.: -0.6
Energy above the most stable polymorph in this dataset, meV/atom: 135

=====

Here is a geometry-optimized CeThBi2 structure from the Alexandria database. Energies are from PBE.

a = 8.466 Å, b = 8.466 Å, c = 8.466 Å
α = 30.44°, β = 30.44°, γ = 30.44°
Fractional positions:
Ce  0.000  0.000  0.000
Th  0.828  0.828  0.828
Bi  0.412  0.412  0.412
Bi  0.582  0.582  0.582

Symmetry: No. 160
Formation energy from the elements, eV/f.u.: -2.4
Energy above the most stable polymorph in this dataset, meV/atom: 89

=====

Here is a geometry-optimized CeTh5Bi5 structure from the Alexandria database. Energies are from PBE.

a = 7.784 Å, b = 7.784 Å, c = 8.960 Å
α = 106.94°, β = 106.94°, γ = 48.57°
Fractional positions:
Ce  0.000  0.000  0.000
Th  0.000  0.000  0.500
Th  0.339  0.339  0.656
Th  0.362  0.362  0.224
Th  0.638  0.638  0.776
Th  0.661  0.661  0.344
Bi  0.166  0.166  0.327
Bi  0.180  0.180  0.851
Bi  0.500  0.500  0.000
Bi  0.820  0.820  0.149
Bi  0.834  0.834  0.673

Symmetry: No. 12
Formation energy from the elements, eV/f.u.: -4.3

=====

Here is a geometry-optimized CeTh2Bi structure from the Alexandria database. Energies are from PBE.

a = 12.541 Å, b = 12.541 Å, c = 12.541 Å
α = 15.98°, β = 15.98°, γ = 15.98°
Fractional positions:
Ce  0.000  0.000  0.000
Th  0.411  0.411  0.411
Th  0.589  0.589  0.589
Bi  0.500  0.500  0.500

Symmetry: No. 166
Formation energy from the elements, eV/f.u.: 0.6
Energy above the most stable polymorph in this dataset, meV/atom: 431

=====

Here is a geometry-optimized CeTh4Bi2 structure from the Alexandria database. Energies are from PBE.

a = 9.022 Å, b = 9.022 Å, c = 9.022 Å
α = 144.32°, β = 144.32°, γ = 51.35°
Fractional positions:
Ce  0.000  0.000  0.000
Th  0.000  0.500  0.500
Th  0.169  0.169  0.000
Th  0.500  0.000  0.500
Th  0.831  0.831  0.000
Bi  0.365  0.365  0.000
Bi  0.635  0.635  0.000

Symmetry: No. 139
Formation energy from the elements, eV/f.u.: 2.2

=====

Here is a geometry-optimized Ce5Th3Bi8 structure from the Alexandria database. Energies are from PBE.

a = 9.223 Å, b = 9.223 Å, c = 9.223 Å
α = 59.78°, β = 59.78°, γ = 59.78°
Fractional positions:
Ce  0.000  0.000  0.000
Ce  0.000  0.500  0.500
Ce  0.500  0.000  0.500
Ce  0.500  0.500  0.000
Ce  0.500  0.500  0.500
Th  0.000  0.000  0.500
Th  0.000  0.500  0.000
Th  0.500  0.000  0.000
Bi  0.250  0.250  0.250
Bi  0.250  0.250  0.750
Bi  0.250  0.750  0.250
Bi  0.250  0.750  0.750
Bi  0.750  0.250  0.250
Bi  0.750  0.250  0.750
Bi  0.750  0.750  0.250
Bi  0.750  0.750  0.750

Symmetry: No. 166
Formation energy from the elements, eV/f.u.: -11.5

=====

Here is a geometry-optimized CeThBi2 structure from the Alexandria database. Energies are from PBE.

a = 5.579 Å, b = 5.579 Å, c = 5.579 Å
α = 60.00°, β = 60.00°, γ = 60.00°
Fractional positions:
Ce  0.000  0.000  0.000
Th  0.500  0.500  0.500
Bi  0.250  0.250  0.250
Bi  0.750  0.750  0.750

Symmetry: No. 225
Formation energy from the elements, eV/f.u.: -2.3
Energy above the most stable polymorph in this dataset, meV/atom: 111

=====

Here is a geometry-optimized CeThTlBi structure from the Alexandria database. Energies are from PBE.

a = 5.551 Å, b = 5.551 Å, c = 5.551 Å
α = 60.00°, β = 60.00°, γ = 60.00°
Fractional positions:
Ce  0.000  0.000  0.000
Th  0.500  0.500  0.500
Tl  0.750  0.750  0.750
Bi  0.250  0.250  0.250

Symmetry: No. 216
Formation energy from the elements, eV/f.u.: -1.1

=====

Here is a geometry-optimized CeTmTh2Bi5 structure from the Alexandria database. Energies are from PBE.

a = 5.383 Å, b = 5.383 Å, c = 11.864 Å
α = 90.00°, β = 90.00°, γ = 90.00°
Fractional positions:
Ce  0.000  0.000  0.000
Tm  0.000  0.000  0.500
Th  0.500  0.500  0.304
Th  0.500  0.500  0.696
Bi  0.000  0.000  0.251
Bi  0.000  0.000  0.749
Bi  0.000  0.500  0.500
Bi  0.500  0.000  0.500
Bi  0.500  0.500  0.000

Symmetry: No. 123
Formation energy from the elements, eV/f.u.: 0.1

=====

Here is a geometry-optimized CeY2ThBi5 structure from the Alexandria database. Energies are from PBE.

a = 5.719 Å, b = 5.719 Å, c = 12.082 Å
α = 90.00°, β = 90.00°, γ = 90.00°
Fractional positions:
Ce  0.000  0.000  0.000
Y  0.500  0.500  0.267
Y  0.500  0.500  0.733
Th  0.000  0.000  0.500
Bi  0.000  0.000  0.244
Bi  0.000  0.000  0.756
Bi  0.000  0.500  0.500
Bi  0.500  0.000  0.500
Bi  0.500  0.500  0.000

Symmetry: No. 123
Formation energy from the elements, eV/f.u.: 1.6

=====

For the records above, the corresponding magnetization values read 2.01; 6.12; 1.38; 0.65; 0.67; 0.00; 0.00; 1.03; 1.81; 1.86; 0.72; 0.79 Bohr magnetons per cell.